1.
Material: LaTa2NO5
Method: DFT, PBEsol
State: optimized geometry

POSCAR file:
```
LaTa2NO5
1.0
5.4648 0.0000 0.0000
0.0000 11.1640 0.0000
-0.0136 0.0000 7.6434
La Ta N O
4 8 4 20
Direct
0.2027 0.0000 0.4994 La
0.2919 0.9226 0.0010 La
0.7081 0.4226 0.9990 La
0.7973 0.5000 0.5006 La
0.2054 0.3178 0.7521 Ta
0.2202 0.3238 0.2473 Ta
0.2891 0.6150 0.2439 Ta
0.2935 0.6077 0.7533 Ta
0.7065 0.1077 0.2467 Ta
0.7109 0.1150 0.7561 Ta
0.7798 0.8238 0.7527 Ta
0.7946 0.8178 0.2479 Ta
0.1268 0.7589 0.1970 N
0.3016 0.3199 0.0006 N
0.6984 0.8199 0.9994 N
0.8732 0.2589 0.8030 N
0.0232 0.4935 0.7861 O
0.0287 0.4900 0.2154 O
0.1022 0.3468 0.4993 O
0.1214 0.7542 0.8015 O
0.2059 0.6087 0.5010 O
0.3759 0.1716 0.6888 O
0.3790 0.1741 0.3115 O
0.4044 0.5879 0.9990 O
0.4773 0.4454 0.7126 O
0.4901 0.4368 0.2889 O
0.5099 0.9368 0.7111 O
0.5227 0.9454 0.2874 O
0.5956 0.0879 0.0010 O
0.6210 0.6741 0.6885 O
0.6241 0.6716 0.3112 O
0.7941 0.1087 0.4990 O
0.8786 0.2542 0.1985 O
0.8978 0.8468 0.5007 O
0.9713 0.9900 0.7846 O
0.9768 0.9935 0.2139 O
```

## Properties
Spin magnetization in μB per atom: 0.000
Energy above the most stable polymorph in this dataset in eV/f.u.: 0.00
Energy in eV/atom: -10.06
Calculated density in kg/m3: 8472
ΔE_f (raw) in kJ/mol of formula units: -2447
Space-group type: No. 4

---

2.
Material: LaTa2NO5
Method: DFT, PBEsol
State: optimized geometry

POSCAR file:
```
LaTa2NO5
1.0
7.6468 0.0000 0.0000
0.0000 5.4649 0.0000
-0.0009 0.0000 11.1598
La Ta N O
4 8 4 20
Direct
0.0000 0.2043 0.0000 La
0.0000 0.7957 0.5000 La
0.4878 0.2926 0.9231 La
0.4878 0.7074 0.4231 La
0.2448 0.2070 0.3201 Ta
0.2448 0.7930 0.8201 Ta
0.2509 0.2899 0.6152 Ta
0.2509 0.7101 0.1152 Ta
0.7402 0.2178 0.3219 Ta
0.7402 0.7822 0.8219 Ta
0.7414 0.2912 0.6080 Ta
0.7414 0.7088 0.1080 Ta
0.2968 0.1258 0.7596 N
0.2968 0.8742 0.2596 N
0.4958 0.3012 0.3197 N
0.4958 0.6988 0.8197 N
0.1820 0.3765 0.1732 O
0.1820 0.6235 0.6732 O
0.2064 0.4824 0.4419 O
0.2064 0.5176 0.9419 O
0.2793 0.0262 0.4935 O
0.2793 0.9738 0.9935 O
0.4969 0.4035 0.5884 O
0.4969 0.5965 0.0884 O
0.6921 0.1217 0.7542 O
0.6921 0.8783 0.2542 O
0.7088 0.0252 0.4904 O
0.7088 0.9748 0.9904 O
0.7819 0.4822 0.4423 O
0.7819 0.5178 0.9423 O
0.8052 0.3803 0.1738 O
0.8052 0.6197 0.6738 O
0.9921 0.1013 0.3470 O
0.9917 0.2055 0.6090 O
0.9917 0.7945 0.1090 O
0.9921 0.8987 0.8470 O
```

## Properties
Spin magnetization in μB per atom: 0.000
Energy above the most stable polymorph in this dataset in eV/f.u.: 0.04
Energy in eV/atom: -10.06
Calculated density in kg/m3: 8472
ΔE_f (raw) in kJ/mol of formula units: -2442
Space-group type: No. 7

---

3.
Material: La3Ti2N3O4
Method: DFT, PBEsol
State: optimized geometry

POSCAR file:
```
La3Ti2N3O4
1.0
-1.9540 1.9540 10.2626
1.9540 -1.9540 10.2626
1.9540 1.9540 -10.2626
La Ti N O
3 2 3 4
Direct
0.0000 0.0000 0.0000 La
0.1820 0.1820 0.0000 La
0.8180 0.8180 0.0000 La
0.4065 0.4065 0.0000 Ti
0.5935 0.5935 0.0000 Ti
0.5000 0.5000 0.0000 N
0.5996 0.0996 0.5000 N
0.9004 0.4004 0.5000 N
0.1055 0.6055 0.5000 O
0.2955 0.2955 0.0000 O
0.3945 0.8945 0.5000 O
0.7045 0.7045 0.0000 O
```

## Properties
Spin magnetization in μB per atom: 0.000
Energy above the most stable polymorph in this dataset in eV/f.u.: 0.00
Energy in eV/atom: -9.19
Calculated density in kg/m3: 6552
ΔE_f (raw) in kJ/mol of formula units: -2999
Space-group type: No. 119

---

4.
Material: La3Ti2N3O4
Method: DFT, PBEsol
State: optimized geometry

POSCAR file:
```
La3Ti2N3O4
1.0
-1.9240 1.9822 10.2635
1.9240 -1.9822 10.2635
1.9240 1.9822 -10.2635
La Ti N O
3 2 3 4
Direct
0.0000 0.0000 0.0000 La
0.1820 0.1820 0.0000 La
0.8180 0.8180 0.0000 La
0.4062 0.4062 0.0000 Ti
0.5938 0.5938 0.0000 Ti
0.1009 0.6009 0.5000 N
0.5000 0.5000 0.0000 N
0.8991 0.3991 0.5000 N
0.2958 0.2958 0.0000 O
0.3959 0.8959 0.5000 O
0.6041 0.1041 0.5000 O
0.7042 0.7042 0.0000 O
```

## Properties
Spin magnetization in μB per atom: 0.000
Energy above the most stable polymorph in this dataset in eV/f.u.: 0.04
Energy in eV/atom: -9.19
Calculated density in kg/m3: 6559
ΔE_f (raw) in kJ/mol of formula units: -2994
Space-group type: No. 71

---

5.
Material: LaTiNO2
Method: DFT, PBEsol
State: optimized geometry

POSCAR file:
```
LaTiNO2
1.0
-2.7893 2.8030 3.8646
2.7893 -2.8030 3.8646
2.7893 2.8030 -3.8646
La Ti N O
2 2 2 4
Direct
0.0081 0.2500 0.2581 La
0.4919 0.7500 0.2419 La
0.2500 0.9812 0.7312 Ti
0.7500 0.5188 0.7688 Ti
0.0369 0.7869 0.2500 N
0.4631 0.7131 0.7500 N
0.0474 0.2974 0.7500 O
0.4526 0.2026 0.2500 O
0.5771 0.2500 0.8271 O
0.9229 0.7500 0.6729 O
```

## Properties
Spin magnetization in μB per atom: 0.000
Energy in eV/atom: -9.33
Calculated density in kg/m3: 6396
ΔE_f (raw) in kJ/mol of formula units: -1347
Space-group type: No. 24

---

6.
Material: LaTiNO2
Method: DFT, PBEsol
State: optimized geometry

POSCAR file:
```
LaTiNO2
1.0
5.5876 0.0000 0.0000
0.0000 3.8286 0.0000
0.0000 0.0000 5.6542
La Ti N O
2 2 2 4
Direct
0.2500 0.0000 0.2297 La
0.7500 0.0000 0.7703 La
0.2500 0.5000 0.7302 Ti
0.7500 0.5000 0.2698 Ti
0.0000 0.5000 0.5000 N
0.5000 0.5000 0.5000 N
0.0000 0.5000 0.0000 O
0.2500 0.0000 0.7837 O
0.5000 0.5000 0.0000 O
0.7500 0.0000 0.2163 O
```

## Properties
Spin magnetization in μB per atom: 0.000
Energy in eV/atom: -9.29
Calculated density in kg/m3: 6391
ΔE_f (raw) in kJ/mol of formula units: -1328
Space-group type: No. 51

---

7.
Material: LaTiNO2
Method: DFT, PBEsol
State: optimized geometry

POSCAR file:
```
LaTiNO2
1.0
5.5571 0.0000 0.0000
0.1162 5.5708 0.0000
0.0182 0.0187 7.8074
La Ti N O
4 4 4 8
Direct
0.0000 0.0000 0.0000 La
0.0029 0.9974 0.4742 La
0.4953 0.4961 0.4717 La
0.4986 0.4936 0.0037 La
0.5027 0.9961 0.7336 Ti
0.5094 0.9877 0.2385 Ti
0.9930 0.5039 0.2350 Ti
0.9992 0.4998 0.7446 Ti
0.2636 0.7354 0.2361 N
0.7467 0.2470 0.2212 N
0.7587 0.7500 0.2829 N
0.9641 0.5462 0.9741 N
0.0580 0.4272 0.4821 O
0.2431 0.7597 0.7141 O
0.2499 0.2327 0.1792 O
0.2731 0.2536 0.7805 O
0.4572 0.0547 0.4854 O
0.5482 0.9340 0.9718 O
0.7410 0.7323 0.6728 O
0.7704 0.2222 0.7319 O
```

## Properties
Spin magnetization in μB per atom: 0.000
Energy in eV/atom: -9.31
Calculated density in kg/m3: 6397
ΔE_f (raw) in kJ/mol of formula units: -1335
Space-group type: No. 1

---

8.
Material: LaTiNO2
Method: DFT, PBEsol
State: optimized geometry

POSCAR file:
```
LaTiNO2
1.0
5.5017 0.0000 0.0000
0.0000 5.5150 0.0000
-0.0676 0.0000 7.9648
La Ti N O
4 4 4 8
Direct
0.2498 0.0000 0.2424 La
0.2499 0.0092 0.7584 La
0.7502 0.5000 0.7576 La
0.7501 0.5092 0.2416 La
0.2369 0.5039 0.0035 Ti
0.2519 0.5037 0.4868 Ti
0.7481 0.0037 0.5132 Ti
0.7631 0.0039 0.9965 Ti
0.0462 0.7877 0.9883 N
0.2567 0.5188 0.2532 N
0.7433 0.0188 0.7468 N
0.9538 0.2877 0.0117 N
0.0520 0.1935 0.4873 O
0.2637 0.4604 0.7476 O
0.4426 0.8029 0.5126 O
0.4462 0.1827 0.0114 O
0.5538 0.6827 0.9886 O
0.5574 0.3029 0.4874 O
0.7363 0.9604 0.2524 O
0.9480 0.6935 0.5127 O
```

## Properties
Spin magnetization in μB per atom: 0.000
Energy in eV/atom: -9.33
Calculated density in kg/m3: 6398
ΔE_f (raw) in kJ/mol of formula units: -1346
Space-group type: No. 4